1.
The following is a DFT calculation (PBE-GGA) of an optimized crystal structure of Cd2InPd3.

Lattice parameters (Å, degrees): 4.6255 4.6255 5.7102 90.00 90.00 120.00
Positions (direct):
Cd1 0.6667 0.3333 0.3427
In1 0.0000 0.0000 0.0000
Pd1 0.0000 0.0000 0.5000
Pd2 0.6667 0.3333 0.8429
Cd2 0.3333 0.6667 0.6573
Pd3 0.3333 0.6667 0.1571

Results
calculated volume	105.8	Å³ per cell
ρ	10.34	g cm⁻³
polymorph energy (0 for the lowest one)	4	meV per atom
total DFT energy (no corrections)	-3.8014	eV/atom
formation enthalpy at 0 K	-10.23	kcal/mol of atoms

---

2.
The following is a DFT calculation (PBE-GGA) of an optimized crystal structure of Cd2InPd3.

Lattice parameters (Å, degrees): 3.1742 4.7120 7.4678 108.39 90.00 90.00
Positions (direct):
Pd1 0.5000 0.5000 0.0000
In1 0.0000 0.0000 0.0000
Cd1 0.0000 0.6709 0.3418
Pd2 0.5000 0.1607 0.3214
Pd3 0.5000 0.8393 0.6786
Cd2 0.0000 0.3291 0.6582

Results
calculated volume	106.0	Å³ per cell
ρ	10.32	g cm⁻³
polymorph energy (0 for the lowest one)	0	meV per atom
total DFT energy (no corrections)	-3.8050	eV/atom
formation enthalpy at 0 K	-10.31	kcal/mol of atoms

---

3.
The following is a DFT calculation (PBE-GGA) of an optimized crystal structure of CdIn4Pd15.

Lattice parameters (Å, degrees): 4.0244 4.0244 20.2900 90.00 90.00 90.00
Positions (direct):
Pd1 0.5000 0.5000 0.7998
Pd2 0.5000 0.0000 0.7002
Pd3 0.0000 0.5000 0.8995
Pd4 0.5000 0.5000 0.6002
Pd5 0.5000 0.5000 0.0000
Pd6 0.0000 0.5000 0.2998
Cd1 0.0000 0.0000 0.0000
In1 0.0000 0.0000 0.1996
In2 0.0000 0.0000 0.8004
Pd7 0.5000 0.0000 0.1005
In3 0.0000 0.0000 0.4000
Pd8 0.5000 0.5000 0.2002
Pd9 0.0000 0.5000 0.7002
In4 0.0000 0.0000 0.6000
Pd10 0.0000 0.5000 0.1005
Pd11 0.5000 0.0000 0.2998
Pd12 0.0000 0.5000 0.5000
Pd13 0.5000 0.0000 0.5000
Pd14 0.5000 0.5000 0.3998
Pd15 0.5000 0.0000 0.8995

Results
calculated volume	328.6	Å³ per cell
ρ	10.96	g cm⁻³
total DFT energy (no corrections)	-4.8742	eV/atom
formation enthalpy at 0 K	-8.90	kcal/mol of atoms

---

4.
The following is a DFT calculation (PBE-GGA) of an optimized crystal structure of Cd6InPd2.

Lattice parameters (Å, degrees): 3.0642 6.7584 9.6216 75.08 80.84 76.90
Positions (direct):
Cd1 0.0182 0.6468 0.3169
Cd2 0.2658 0.5985 0.8698
Cd3 0.3253 0.7948 0.5547
Pd1 0.3667 0.0251 0.2415
Pd2 0.6333 0.9749 0.7585
Cd4 0.6747 0.2052 0.4453
Cd5 0.9818 0.3532 0.6831
In1 0.0000 0.0000 0.0000
Cd6 0.7342 0.4015 0.1302

Results
calculated volume	186.4	Å³ per cell
ρ	8.93	g cm⁻³
total DFT energy (no corrections)	-2.2733	eV/atom
formation enthalpy at 0 K	-4.73	kcal/mol of atoms

---

5.
The following is a DFT calculation (PBE-GGA) of an optimized crystal structure of CdIn4Pd7.

Lattice parameters (Å, degrees): 4.9895 8.6581 6.1049 79.71 65.88 73.25
Positions (direct):
In1 0.4132 0.7759 0.3977
Pd1 0.5000 0.0000 0.0000
Pd2 0.6385 0.4693 0.2538
Pd3 0.9268 0.3318 0.8145
Pd4 0.2072 0.0900 0.4956
In2 0.5868 0.2241 0.6023
Pd5 0.0732 0.6682 0.1855
Pd6 0.7928 0.9100 0.5044
In3 0.7441 0.6689 0.8429
Pd7 0.3615 0.5307 0.7462
Cd1 0.0000 0.0000 0.0000
In4 0.2559 0.3311 0.1571

Results
calculated volume	229.9	Å³ per cell
ρ	9.51	g cm⁻³
total DFT energy (no corrections)	-4.3379	eV/atom
formation enthalpy at 0 K	-7.37	kcal/mol of atoms

---

6.
The following is a DFT calculation (PBE-GGA) of an optimized crystal structure of CdIn2Pd3.

Lattice parameters (Å, degrees): 3.3167 3.3167 9.7094 90.00 90.00 90.00
Positions (direct):
Pd1 0.0000 0.0000 0.0000
Pd2 0.0000 0.0000 0.3269
Cd1 0.5000 0.5000 0.5000
In1 0.5000 0.5000 0.1685
Pd3 0.0000 0.0000 0.6731
In2 0.5000 0.5000 0.8315

Results
calculated volume	106.8	Å³ per cell
ρ	10.28	g cm⁻³
total DFT energy (no corrections)	-4.1366	eV/atom
formation enthalpy at 0 K	-10.95	kcal/mol of atoms